Here is a relaxed structure of Si3RhPb from Alexandria. Energies are from PBE-GGA.

## Properties
Mass density in g/cm³: 6.2
Energy relative to the lowest polymorph listed for this composition in meV/atom: 0
Raw formation energy in meV/atom: 344
SG: No. 221
E_tot in eV per atom: -5.12

a b c (Å): 4.7237 4.7237 4.7237
angles (deg): 90.00 90.00 90.00
With the nearest neighbours (Å) after each atom.
Element x y z (fractional)
Pb1 0.5000 0.5000 0.5000  12 Si 3.34
Rh1 0.0000 0.0000 0.0000  6 Si 2.36
Si1 0.5000 0.0000 0.0000  2 Rh 2.36
Si2 0.0000 0.5000 0.0000  2 Rh 2.36
Si3 0.0000 0.0000 0.5000  2 Rh 2.36